VASP calculation (PBE with a Hubbard U) on crystalline BaFeAs2O8 at its relaxed geometry.

Unit cell a=5.0232 b=5.0232 c=24.4690 alpha=90.00 beta=90.00 gamma=120.00
Last column: nearest neighbours and their distance in Å.
Space group R32 (No. 155, hexagonal axes)
Asymmetric unit:
1 Ba 0.0000 0.0000 0.0000 [3 per cell]  12 O 2.96-3.31
2 Fe 0.0000 0.0000 0.5000 [3 per cell]  6 O 2.04
3 As 0.0000 0.0000 0.2398 [6 per cell]  4 O 1.71-1.73
4 O 0.0000 0.0000 0.3097 [6 per cell]  1 As 1.71
5 O 0.0098 0.3630 0.1136 [18 per cell]  1 As 1.73

***

VASP calculation (PBE with a Hubbard U) on crystalline Ba2FeAs2O6 at its relaxed geometry.

Unit cell a=9.9597 b=5.9346 c=6.9883 alpha=90.00 beta=96.75 gamma=90.00
Last column: nearest neighbours and their distance in Å.
Space group C2/m (No. 12)
Asymmetric unit:
1 Ba 0.1797 0.0000 0.1716 [4 per cell]  9 O 2.87-2.97
2 Fe 0.0000 0.5000 0.0000 [2 per cell]  6 O 2.08-2.24
3 As 0.1481 0.0000 0.6965 [4 per cell]  3 O 1.79-1.81
4 O 0.0796 0.2279 0.8220 [8 per cell]  1 As 1.79
5 O 0.1841 0.5000 0.1735 [4 per cell]  1 As 1.81

***

VASP calculation (PBE with a Hubbard U) on crystalline Ba3FeAs2O8 at its relaxed geometry.

Unit cell a=5.9095 b=5.9095 c=7.6938 alpha=90.00 beta=90.00 gamma=120.00
Last column: nearest neighbours and their distance in Å.
Space group P-3m1 (No. 164)
Asymmetric unit:
1 Ba 0.0000 0.0000 0.0000 [1 per cell]  6 O 2.92
2 Ba 0.3333 0.6667 0.6502 [2 per cell]  1 O 2.54
3 Fe 0.0000 0.0000 0.5000 [1 per cell]  6 O 2.32
4 As 0.3333 0.6667 0.2095 [2 per cell]  4 O 1.76-1.80
5 O 0.1722 0.3444 0.3033 [6 per cell]  1 As 1.80
6 O 0.3333 0.6667 0.9810 [2 per cell]  1 As 1.76

***

VASP calculation (PBE with a Hubbard U) on crystalline Ba2ScFeAsO3 at its relaxed geometry.

Unit cell a=4.2186 b=4.2186 c=17.3239 alpha=90.00 beta=90.00 gamma=90.00
Last column: nearest neighbours and their distance in Å.
Space group P4/nmm (No. 129, origin choice 2)
Asymmetric unit:
1 Ba 0.2500 0.2500 0.0843 [2 per cell]  9 O 2.68-2.99
2 Ba 0.2500 0.2500 0.3056 [2 per cell]  4 O 2.75
3 Sc 0.2500 0.2500 0.8152 [2 per cell]  5 O 1.98-2.13
4 Fe 0.2500 0.7500 0.5000 [2 per cell]  4 As 2.64
5 As 0.2500 0.2500 0.5914 [2 per cell]  4 Fe 2.64
6 O 0.2500 0.2500 0.9295 [2 per cell]  1 Sc 1.98
7 O 0.2500 0.7500 0.2037 [4 per cell]  2 Sc 2.13

***

VASP calculation (PBE with a Hubbard U) on crystalline Ba2Ti2Fe2As4O at its relaxed geometry.

Unit cell a=4.1014 b=4.1014 c=28.7097 alpha=90.00 beta=90.00 gamma=90.00
Last column: nearest neighbours and their distance in Å.
Space group I4/mmm (No. 139)
Asymmetric unit:
1 Ba 0.0000 0.0000 0.1278 [4 per cell]  8 As 3.46, 1 O 3.67
2 Ti 0.0000 0.5000 0.0000 [4 per cell]  2 O 2.05
3 Fe 0.0000 0.5000 0.2500 [4 per cell]  4 As 2.61, 4 Fe 2.90
4 As 0.0000 0.0000 0.3065 [4 per cell]  4 Fe 2.61
5 As 0.0000 0.0000 0.4379 [4 per cell]  4 Ti 2.72
6 O 0.0000 0.0000 0.0000 [2 per cell]  4 Ti 2.05

***

no.,total DFT energy (no corrections) (eV/f.u.)
1,-74.05
2,-69.29
3,-85.90
4,-53.17
5,-65.64